Computed, not measured: a relaxed Cr2ReMo crystal at the PBEsol level of DFT.

Calculated values
The formation energy comes out at 0.099 eV per atom. The value obtained for the electronic total energy is -11.297 eV/atom.

Unit cell a=4.890 b=4.890 c=2.607 alpha=100.45 beta=100.45 gamma=115.48
Fractional positions:
Cr  0.000  0.500  0.000
Cr  0.500  0.000  0.000
Re  0.000  0.000  0.500
Mo  0.500  0.500  0.500